(1)
# Ce3Cd2Hg3, relaxed, DFT GGA-PBE
data_Ce3Cd2Hg3
_chemical_formula_sum 'Ce6 Cd4 Hg6'
_cell_length_a 5.046
_cell_length_b 6.030
_cell_length_c 14.913
_cell_angle_alpha 90.00
_cell_angle_beta 90.00
_cell_angle_gamma 114.73
_space_group_name_H-M_alt 'P 1'
_space_group_IT_number 1
loop_
_space_group_symop_operation_xyz
'x,y,z'
loop_
_atom_site_label
_atom_site_type_symbol
_atom_site_fract_x
_atom_site_fract_y
_atom_site_fract_z
Ce1 Ce 0.912 0.824 0.387
Ce2 Ce 0.088 0.176 0.887
Ce3 Ce 0.912 0.824 0.113
Ce4 Ce 0.088 0.176 0.613
Ce5 Ce 0.739 0.479 0.250
Ce6 Ce 0.261 0.521 0.750
Cd1 Cd 0.779 0.558 0.896
Cd2 Cd 0.221 0.442 0.396
Cd3 Cd 0.779 0.558 0.604
Cd4 Cd 0.221 0.442 0.104
Hg1 Hg 0.604 0.209 0.443
Hg2 Hg 0.396 0.791 0.943
Hg3 Hg 0.604 0.209 0.057
Hg4 Hg 0.396 0.791 0.557
Hg5 Hg 0.439 0.877 0.250
Hg6 Hg 0.561 0.123 0.750
# **Formation energy from the elements**: -0.25 eV/atom

(2)
# BaCeIn2I8, relaxed, DFT GGA-PBE
data_BaCeIn2I8
_chemical_formula_sum 'Ba1 Ce1 In2 I8'
_cell_length_a 8.018
_cell_length_b 7.562
_cell_length_c 9.937
_cell_angle_alpha 89.97
_cell_angle_beta 90.00
_cell_angle_gamma 90.92
_space_group_name_H-M_alt 'P 1'
_space_group_IT_number 1
loop_
_space_group_symop_operation_xyz
'x,y,z'
loop_
_atom_site_label
_atom_site_type_symbol
_atom_site_fract_x
_atom_site_fract_y
_atom_site_fract_z
Ba1 Ba 0.000 0.000 0.500
Ce1 Ce 0.000 0.000 0.000
In1 In 0.500 0.500 0.751
In2 In 0.500 0.500 0.249
I1 I 0.144 0.760 0.223
I2 I 0.684 0.775 0.000
I3 I 0.855 0.239 0.222
I4 I 0.856 0.240 0.777
I5 I 0.316 0.225 0.000
I6 I 0.145 0.761 0.778
I7 I 0.652 0.729 0.500
I8 I 0.348 0.271 0.500
# **Raw formation energy**: -1.053 eV/atom

(3)
# GaCo2HgCl, relaxed, DFT GGA-PBE
data_GaCo2HgCl
_chemical_formula_sum 'Ga1 Co2 Hg1 Cl1'
_cell_length_a 4.988
_cell_length_b 5.334
_cell_length_c 4.988
_cell_angle_alpha 90.00
_cell_angle_beta 90.00
_cell_angle_gamma 90.00
_space_group_name_H-M_alt 'P 1'
_space_group_IT_number 1
loop_
_space_group_symop_operation_xyz
'x,y,z'
loop_
_atom_site_label
_atom_site_type_symbol
_atom_site_fract_x
_atom_site_fract_y
_atom_site_fract_z
Co1 Co 0.000 0.000 0.500
Co2 Co 0.500 0.000 0.000
Hg1 Hg 0.000 0.000 0.000
Ga1 Ga 0.000 0.500 0.000
Cl1 Cl 0.500 0.500 0.500
# **Raw formation energy**: 1.062 eV/atom

(4)
# Yb6Al43Cr4, relaxed, DFT GGA-PBE
data_Yb6Al43Cr4
_chemical_formula_sum 'Yb12 Al86 Cr8'
_cell_length_a 10.912
_cell_length_b 10.912
_cell_length_c 17.573
_cell_angle_alpha 90.00
_cell_angle_beta 90.00
_cell_angle_gamma 120.00
_space_group_name_H-M_alt 'P 1'
_space_group_IT_number 1
loop_
_space_group_symop_operation_xyz
'x,y,z'
loop_
_atom_site_label
_atom_site_type_symbol
_atom_site_fract_x
_atom_site_fract_y
_atom_site_fract_z
Yb1 Yb 0.531 0.000 0.595
Yb2 Yb 0.469 0.000 0.405
Yb3 Yb 0.000 0.531 0.595
Yb4 Yb 0.469 0.000 0.095
Yb5 Yb 0.000 0.531 0.905
Yb6 Yb 0.000 0.469 0.405
Yb7 Yb 0.531 0.000 0.905
Yb8 Yb 0.000 0.469 0.095
Yb9 Yb 0.469 0.469 0.595
Yb10 Yb 0.531 0.531 0.405
Yb11 Yb 0.531 0.531 0.095
Yb12 Yb 0.469 0.469 0.905
Al1 Al 0.247 0.493 0.500
Al2 Al 0.753 0.507 0.500
Al3 Al 0.507 0.753 0.500
Al4 Al 0.753 0.507 0.000
Al5 Al 0.493 0.247 0.000
Al6 Al 0.493 0.247 0.500
Al7 Al 0.247 0.493 0.000
Al8 Al 0.507 0.753 0.000
Al9 Al 0.247 0.753 0.500
Al10 Al 0.753 0.247 0.500
Al11 Al 0.753 0.247 0.000
Al12 Al 0.247 0.753 0.000
Al13 Al 0.156 0.000 0.115
Al14 Al 0.844 0.000 0.885
Al15 Al 0.000 0.156 0.115
Al16 Al 0.844 0.000 0.615
Al17 Al 0.000 0.156 0.385
Al18 Al 0.000 0.844 0.885
Al19 Al 0.156 0.000 0.385
Al20 Al 0.000 0.844 0.615
Al21 Al 0.844 0.844 0.115
Al22 Al 0.156 0.156 0.885
Al23 Al 0.156 0.156 0.615
Al24 Al 0.844 0.844 0.385
Al25 Al 0.250 0.000 0.531
Al26 Al 0.750 0.000 0.469
Al27 Al 0.000 0.250 0.531
Al28 Al 0.750 0.000 0.031
Al29 Al 0.000 0.250 0.969
Al30 Al 0.000 0.750 0.469
Al31 Al 0.250 0.000 0.969
Al32 Al 0.000 0.750 0.031
Al33 Al 0.750 0.750 0.531
Al34 Al 0.250 0.250 0.469
Al35 Al 0.250 0.250 0.031
Al36 Al 0.750 0.750 0.969
Al37 Al 0.144 0.599 0.750
Al38 Al 0.856 0.401 0.250
Al39 Al 0.401 0.545 0.750
Al40 Al 0.599 0.144 0.750
Al41 Al 0.599 0.455 0.250
Al42 Al 0.401 0.856 0.250
Al43 Al 0.455 0.856 0.750
Al44 Al 0.545 0.401 0.750
Al45 Al 0.545 0.144 0.250
Al46 Al 0.455 0.599 0.250
Al47 Al 0.856 0.455 0.750
Al48 Al 0.144 0.545 0.250
Al49 Al 0.333 0.667 0.627
Al50 Al 0.667 0.333 0.373
Al51 Al 0.667 0.333 0.127
Al52 Al 0.667 0.333 0.873
Al53 Al 0.333 0.667 0.873
Al54 Al 0.333 0.667 0.127
Al55 Al 0.333 0.667 0.373
Al56 Al 0.667 0.333 0.627
Al57 Al 0.157 0.391 0.666
Al58 Al 0.843 0.609 0.334
Al59 Al 0.609 0.767 0.666
Al60 Al 0.843 0.609 0.166
Al61 Al 0.391 0.157 0.834
Al62 Al 0.391 0.233 0.334
Al63 Al 0.157 0.391 0.834
Al64 Al 0.609 0.843 0.166
Al65 Al 0.233 0.843 0.666
Al66 Al 0.391 0.233 0.166
Al67 Al 0.767 0.609 0.834
Al68 Al 0.767 0.157 0.334
Al69 Al 0.609 0.767 0.834
Al70 Al 0.233 0.391 0.166
Al71 Al 0.609 0.843 0.334
Al72 Al 0.391 0.157 0.666
Al73 Al 0.767 0.157 0.166
Al74 Al 0.233 0.391 0.334
Al75 Al 0.233 0.843 0.834
Al76 Al 0.767 0.609 0.666
Al77 Al 0.843 0.233 0.834
Al78 Al 0.157 0.767 0.166
Al79 Al 0.157 0.767 0.334
Al80 Al 0.843 0.233 0.666
Al81 Al 0.145 0.000 0.750
Al82 Al 0.855 0.000 0.250
Al83 Al 0.000 0.145 0.750
Al84 Al 0.000 0.855 0.250
Al85 Al 0.855 0.855 0.750
Al86 Al 0.145 0.145 0.250
Cr1 Cr 0.000 0.000 0.500
Cr2 Cr 0.000 0.000 0.000
Cr3 Cr 0.734 0.000 0.750
Cr4 Cr 0.266 0.000 0.250
Cr5 Cr 0.000 0.734 0.750
Cr6 Cr 0.000 0.266 0.250
Cr7 Cr 0.266 0.266 0.750
Cr8 Cr 0.734 0.734 0.250
# **Formation energy from the elements**: -0.25 eV/atom

(5)
# Tl2VZn, relaxed, DFT GGA-PBE
data_Tl2VZn
_chemical_formula_sum 'Tl4 V2 Zn2'
_cell_length_a 7.747
_cell_length_b 7.747
_cell_length_c 6.272
_cell_angle_alpha 51.86
_cell_angle_beta 51.86
_cell_angle_gamma 90.00
_space_group_name_H-M_alt 'P 1'
_space_group_IT_number 1
loop_
_space_group_symop_operation_xyz
'x,y,z'
loop_
_atom_site_label
_atom_site_type_symbol
_atom_site_fract_x
_atom_site_fract_y
_atom_site_fract_z
Tl1 Tl 0.634 0.125 0.250
Tl2 Tl 0.116 0.625 0.250
Tl3 Tl 0.375 0.366 0.750
Tl4 Tl 0.875 0.884 0.750
Zn1 Zn 0.000 0.000 0.000
Zn2 Zn 0.750 0.250 0.500
V1 V 0.500 0.500 0.000
V2 V 0.250 0.750 0.500
# **Formation energy from the elements**: 0.63 eV/atom

(6)
# Li3Pd3Pb2, relaxed, DFT GGA-PBE
data_Li3Pd3Pb2
_chemical_formula_sum 'Li3 Pd3 Pb2'
_cell_length_a 4.600
_cell_length_b 4.600
_cell_length_c 7.958
_cell_angle_alpha 73.20
_cell_angle_beta 73.20
_cell_angle_gamma 60.00
_space_group_name_H-M_alt 'P 1'
_space_group_IT_number 1
loop_
_space_group_symop_operation_xyz
'x,y,z'
loop_
_atom_site_label
_atom_site_type_symbol
_atom_site_fract_x
_atom_site_fract_y
_atom_site_fract_z
Li1 Li 0.248 0.248 0.256
Li2 Li 0.753 0.753 0.742
Li3 Li 0.625 0.625 0.125
Pd1 Pd 0.125 0.125 0.626
Pd2 Pd 0.876 0.876 0.371
Pd3 Pd 0.374 0.374 0.878
Pb1 Pb 0.001 0.001 0.998
Pb2 Pb 0.499 0.499 0.504
# **Formation energy from the elements**: -0.43 eV/atom

(7)
# YP2RuRh5, relaxed, DFT GGA-PBE
data_YP2RuRh5
_chemical_formula_sum 'Y1 P2 Ru1 Rh5'
_cell_length_a 3.957
_cell_length_b 3.957
_cell_length_c 10.356
_cell_angle_alpha 90.00
_cell_angle_beta 90.00
_cell_angle_gamma 90.00
_space_group_name_H-M_alt 'P 1'
_space_group_IT_number 1
loop_
_space_group_symop_operation_xyz
'x,y,z'
loop_
_atom_site_label
_atom_site_type_symbol
_atom_site_fract_x
_atom_site_fract_y
_atom_site_fract_z
Y1 Y 0.500 0.500 0.500
P1 P 0.000 0.000 0.717
P2 P 0.000 0.000 0.283
Ru1 Ru 0.000 0.000 0.000
Rh1 Rh 0.000 0.000 0.500
Rh2 Rh 0.000 0.500 0.835
Rh3 Rh 0.500 0.000 0.165
Rh4 Rh 0.000 0.500 0.165
Rh5 Rh 0.500 0.000 0.835
# **Formation energy from the elements**: -0.18 eV/atom

(8)
# CsPd2F7, relaxed, DFT GGA-PBE
data_CsPd2F7
_chemical_formula_sum 'Cs1 Pd2 F7'
_cell_length_a 4.085
_cell_length_b 7.095
_cell_length_c 7.095
_cell_angle_alpha 125.85
_cell_angle_beta 90.00
_cell_angle_gamma 90.00
_space_group_name_H-M_alt 'P 1'
_space_group_IT_number 1
loop_
_space_group_symop_operation_xyz
'x,y,z'
loop_
_atom_site_label
_atom_site_type_symbol
_atom_site_fract_x
_atom_site_fract_y
_atom_site_fract_z
Cs1 Cs 0.000 0.000 0.000
Pd1 Pd 0.500 0.665 0.335
Pd2 Pd 0.500 0.335 0.665
F1 F 0.000 0.679 0.321
F2 F 0.000 0.321 0.679
F3 F 0.500 0.043 0.351
F4 F 0.500 0.957 0.649
F5 F 0.500 0.351 0.043
F6 F 0.500 0.649 0.957
F7 F 0.500 0.500 0.500
# **Raw formation energy**: -1.560 eV/atom

(9)
# CrCdIn2, relaxed, DFT GGA-PBE
data_CrCdIn2
_chemical_formula_sum 'Cr1 Cd1 In2'
_cell_length_a 5.263
_cell_length_b 5.263
_cell_length_c 3.261
_cell_angle_alpha 90.00
_cell_angle_beta 90.00
_cell_angle_gamma 108.21
_space_group_name_H-M_alt 'P 1'
_space_group_IT_number 1
loop_
_space_group_symop_operation_xyz
'x,y,z'
loop_
_atom_site_label
_atom_site_type_symbol
_atom_site_fract_x
_atom_site_fract_y
_atom_site_fract_z
Cd1 Cd 0.500 0.000 0.500
Cr1 Cr 0.000 0.500 0.500
In1 In 0.000 0.000 0.000
In2 In 0.500 0.500 0.000
# **Formation energy from the elements**: 0.29 eV/atom

(10)
# Rb2CdSbS4, relaxed, DFT GGA-PBE
data_Rb2CdSbS4
_chemical_formula_sum 'Rb2 Cd1 Sb1 S4'
_cell_length_a 7.044
_cell_length_b 7.044
_cell_length_c 7.044
_cell_angle_alpha 99.18
_cell_angle_beta 114.85
_cell_angle_gamma 114.85
_space_group_name_H-M_alt 'P 1'
_space_group_IT_number 1
loop_
_space_group_symop_operation_xyz
'x,y,z'
loop_
_atom_site_label
_atom_site_type_symbol
_atom_site_fract_x
_atom_site_fract_y
_atom_site_fract_z
Rb1 Rb 0.500 0.750 0.250
Rb2 Rb 0.000 0.000 0.000
Cd1 Cd 0.500 0.250 0.750
Sb1 Sb 0.000 0.500 0.500
S1 S 0.598 0.397 0.471
S2 S 0.074 0.201 0.603
S3 S 0.926 0.529 0.127
S4 S 0.402 0.873 0.799
# **Raw formation energy**: -0.674 eV/atom

Calculated N(E_F) in order - 15.67, 6.93, 7.11, 27.33, 5.18, 3.74, 7.96, 4.97, 2.15, 3.26 states/eV/f.u.